Density functional theory data (PBE) for a geometry-optimized LaPm2Al2Zn2 structure.

Geometry as extended XYZ:
```
7
Lattice="4.594 0.000 0.000 2.297 3.978 0.000 2.297 1.326 9.527" Properties=species:S:1:pos:R:3 pbc="T T T"
Pm 2.297 1.326 5.820
Zn 4.594 2.652 2.079
Al 6.890 3.978 7.451
La 0.000 0.000 0.000
Zn 4.594 2.652 7.447
Pm 6.890 3.978 3.707
Al 2.297 1.326 2.076
```

## Properties
ΔE_f ... -311 meV/atom
Space group ... R-3m, No. 166
DOS at the Fermi energy ... 4.2 states/eV/f.u.
Final energy ... -0.1399 Ha/atom